(1)
# DyZn4Pd2

An optimized crystal structure of DyZn4Pd2 (GGA-PBE, Alexandria).

ΔE to the lowest computed polymorph ... 0.0 meV/atom
Calculated formation energy ... -0.5336 eV per atom
Total energy ... -47.64 eV for the cell shown
Total moment ... 0.0 μB per formula unit

Lattice parameters (Å, degrees): 7.4970 7.4970 4.2715 90.00 90.00 90.00
With the nearest neighbours (Å) after each atom.
Sites, in units of the cell vectors:
Dy (0.0000, 0.0000, 0.0000)  6 Pd 3.01-3.13, 4 Zn 3.20
Dy (0.5000, 0.5000, 0.5000)  6 Pd 3.01-3.13, 4 Zn 3.20
Zn (0.0994, 0.3542, 0.5000)  3 Pd 2.58-2.60, 6 Zn 2.65-2.84
Zn (0.1458, 0.5994, 0.0000)  3 Pd 2.58-2.60, 6 Zn 2.65-2.84
Zn (0.3542, 0.0994, 0.5000)  3 Pd 2.58-2.60, 6 Zn 2.65-2.84
Zn (0.4006, 0.8542, 0.0000)  3 Pd 2.58-2.60, 6 Zn 2.65-2.84
Zn (0.5994, 0.1458, 0.0000)  3 Pd 2.58-2.60, 6 Zn 2.65-2.84
Zn (0.6458, 0.9006, 0.5000)  3 Pd 2.58-2.60, 6 Zn 2.65-2.84
Zn (0.8542, 0.4006, 0.0000)  3 Pd 2.58-2.60, 6 Zn 2.65-2.84
Zn (0.9006, 0.6458, 0.5000)  3 Pd 2.58-2.60, 6 Zn 2.65-2.84
Pd (0.2160, 0.7840, 0.5000)  6 Zn 2.58-2.60
Pd (0.2840, 0.2840, 0.0000)  6 Zn 2.58-2.60
Pd (0.7160, 0.7160, 0.0000)  6 Zn 2.58-2.60
Pd (0.7840, 0.2160, 0.5000)  6 Zn 2.58-2.60


(2)
# KMg2MnP

An optimized crystal structure of KMg2MnP (GGA-PBE, Alexandria).

Calculated formation energy ... 0.2304 eV per atom
Total energy ... -17.71 eV for the cell shown
Total moment ... 3.3 μB per formula unit

Lattice parameters (Å, degrees): 5.2725 5.2725 4.6043 90.00 90.00 90.00
With the nearest neighbours (Å) after each atom.
Sites, in units of the cell vectors:
K (0.0000, 0.0000, 0.0000)  8 Mg 3.50, 4 Mn 3.73
Mg (0.0000, 0.5000, 0.5000)  2 P 2.64
Mg (0.5000, 0.0000, 0.5000)  2 P 2.64
Mn (0.5000, 0.5000, 0.0000)  2 P 2.30
P (0.5000, 0.5000, 0.5000)  2 Mn 2.30


(3)
# SrNbPtPb2

An optimized crystal structure of SrNbPtPb2 (GGA-PBE, Alexandria).

Calculated formation energy ... 0.3833 eV per atom
Total energy ... -23.29 eV for the cell shown
Total moment ... 2.5 μB per formula unit

Lattice parameters (Å, degrees): 5.5334 5.5334 5.1433 90.00 90.00 90.00
With the nearest neighbours (Å) after each atom.
Sites, in units of the cell vectors:
Sr (0.0000, 0.0000, 0.0000)  8 Pb 3.78, 4 Nb 3.91
Nb (0.5000, 0.5000, 0.0000)  2 Pt 2.57
Pt (0.5000, 0.5000, 0.5000)  2 Nb 2.57, 4 Pb 2.77
Pb (0.0000, 0.5000, 0.5000)  2 Pt 2.77
Pb (0.5000, 0.0000, 0.5000)  2 Pt 2.77


(4)
# Tl2CuP

An optimized crystal structure of Tl2CuP (GGA-PBE, Alexandria).

ΔE to the lowest computed polymorph ... 203.1 meV/atom
Calculated formation energy ... 0.1670 eV per atom
Total energy ... -13.57 eV for the cell shown
Total moment ... 0.0 μB per formula unit

Lattice parameters (Å, degrees): 3.1939 3.4966 8.4107 90.00 90.00 90.00
With the nearest neighbours (Å) after each atom.
Sites, in units of the cell vectors:
Tl (0.0000, 0.0000, 0.0000)  1 Cu 2.91, 2 Tl 3.19
Tl (0.5000, 0.5000, 0.3629)  1 P 2.97, 2 Tl 3.19
Cu (0.0000, 0.0000, 0.6539)  4 P 2.42
P (0.5000, 0.5000, 0.7161)  4 Cu 2.42


(5)
# Pr3ZnNi

An optimized crystal structure of Pr3ZnNi (GGA-PBE, Alexandria).

ΔE to the lowest computed polymorph ... 0.0 meV/atom
Calculated formation energy ... -0.1934 eV per atom
Total energy ... -44.72 eV for the cell shown
Total moment ... 0.0 μB per formula unit

Lattice parameters (Å, degrees): 6.0964 6.0964 8.8401 112.93 112.93 66.62
With the nearest neighbours (Å) after each atom.
Sites, in units of the cell vectors:
Pr (0.0467, 0.0467, 0.2464)  2 Ni 2.85
Pr (0.2908, 0.2908, 0.6771)  2 Ni 2.96
Pr (0.3155, 0.3155, 0.1163)  2 Ni 2.85
Pr (0.6845, 0.6845, 0.8837)  2 Ni 2.85
Pr (0.7092, 0.7092, 0.3229)  2 Ni 2.96
Pr (0.9533, 0.9533, 0.7536)  2 Ni 2.85
Zn (0.3035, 0.6965, 0.5000)  1 Zn 2.63
Zn (0.6965, 0.3035, 0.5000)  1 Zn 2.63
Ni (0.3026, 0.6974, 0.0000)  1 Ni 2.64, 6 Pr 2.85-2.96
Ni (0.6974, 0.3026, 0.0000)  1 Ni 2.64, 6 Pr 2.85-2.96


(6)
# CaCuO2

An optimized crystal structure of CaCuO2 (GGA-PBE, Alexandria).

Total energy ... -90.88 eV for the cell shown
Total moment ... 0.0 μB per formula unit
Formation energy without anion corrections ... -1.676 eV/atom

Lattice parameters (Å, degrees): 8.3418 8.3418 8.6470 93.26 93.26 20.98
With the nearest neighbours (Å) after each atom.
Sites, in units of the cell vectors:
Ca (0.1565, 0.1565, 0.4567)  5 O 2.29-2.47
Ca (0.2928, 0.2928, 0.1775)  6 O 2.29-2.47
Ca (0.7072, 0.7072, 0.8225)  6 O 2.29-2.47
Ca (0.8435, 0.8435, 0.5433)  5 O 2.29-2.47
Cu (0.0223, 0.0223, 0.6834)  4 O 1.97-1.98
Cu (0.3794, 0.3794, 0.8812)  3 O 1.87-1.94
Cu (0.6206, 0.6206, 0.1188)  3 O 1.87-1.94
Cu (0.9777, 0.9777, 0.3166)  4 O 1.97-1.98
O (0.1650, 0.1650, 0.0111)  2 Cu 1.94
O (0.2621, 0.2621, 0.6595)  5 Ca 2.29-2.39
O (0.4058, 0.4058, 0.3577)  2 Cu 1.97
O (0.4478, 0.4478, 0.7157)  3 Cu 1.87-1.98
O (0.5522, 0.5522, 0.2843)  3 Cu 1.87-1.98
O (0.5942, 0.5942, 0.6423)  2 Cu 1.97
O (0.7379, 0.7379, 0.3405)  5 Ca 2.29-2.39
O (0.8350, 0.8350, 0.9889)  2 Cu 1.94


(7)
# Pm4GePt2

An optimized crystal structure of Pm4GePt2 (GGA-PBE, Alexandria).

Calculated formation energy ... -0.8967 eV per atom
Total energy ... -83.96 eV for the cell shown
Total moment ... 0.0 μB per formula unit

Lattice parameters (Å, degrees): 7.8411 7.8411 7.6031 108.97 108.97 108.87
With the nearest neighbours (Å) after each atom.
Sites, in units of the cell vectors:
Pm (0.0031, 0.9969, 0.5000)  4 Pt 2.93-3.17, 2 Ge 3.03-3.14
Pm (0.1173, 0.5047, 0.8429)  3 Pt 2.88-2.94
Pm (0.3978, 0.8806, 0.7261)  2 Pt 2.89-2.94, 1 Ge 2.96
Pm (0.4982, 0.6201, 0.3410)  2 Pt 2.88-3.19, 2 Ge 2.94-2.98
Pm (0.5047, 0.1173, 0.3429)  3 Pt 2.88-2.94
Pm (0.6201, 0.4982, 0.8410)  2 Pt 2.88-3.19, 2 Ge 2.94-2.98
Pm (0.8806, 0.3978, 0.2261)  2 Pt 2.89-2.94, 1 Ge 2.96
Pm (0.9969, 0.0031, 0.0000)  4 Pt 2.93-3.17, 2 Ge 3.03-3.14
Ge (0.2396, 0.3656, 0.4666)  6 Pm 2.94-3.28
Ge (0.3656, 0.2396, 0.9666)  6 Pm 2.94-3.28
Pt (0.1297, 0.7646, 0.2303)  5 Pm 2.89-3.14
Pt (0.6318, 0.8654, 0.1054)  6 Pm 2.88-3.19
Pt (0.7646, 0.1297, 0.7303)  5 Pm 2.89-3.14
Pt (0.8654, 0.6318, 0.6054)  6 Pm 2.88-3.19


(8)
# CdRh2Pb

An optimized crystal structure of CdRh2Pb (GGA-PBE, Alexandria).

Calculated formation energy ... -0.0476 eV per atom
Total energy ... -19.52 eV for the cell shown
Total moment ... 0.0 μB per formula unit

Lattice parameters (Å, degrees): 3.2781 3.3786 6.4540 90.00 90.22 90.00
With the nearest neighbours (Å) after each atom.
Sites, in units of the cell vectors:
Cd (0.0000, 0.0000, 0.0000)  8 Rh 2.86
Rh (0.4980, 0.5000, 0.7479)  4 Pb 2.84-2.85, 4 Cd 2.86
Rh (0.5020, 0.5000, 0.2521)  4 Pb 2.84-2.85, 4 Cd 2.86
Pb (0.0000, 0.0000, 0.5000)  8 Rh 2.84-2.85


(9)
# Sm2InSn

An optimized crystal structure of Sm2InSn (GGA-PBE, Alexandria).

Calculated formation energy ... -0.5938 eV per atom
Total energy ... -37.11 eV for the cell shown
Total moment ... 0.0 μB per formula unit

Lattice parameters (Å, degrees): 7.1268 6.6807 6.6645 64.56 57.83 57.61
With the nearest neighbours (Å) after each atom.
Sites, in units of the cell vectors:
Sm (0.2137, 0.7863, 0.7863)  4 In 3.35-3.37, 4 Sn 3.36-3.38, 5 Sm 3.58-3.74
Sm (0.2500, 0.2500, 0.2500)  4 Sn 3.34, 4 In 3.35, 4 Sm 3.58
Sm (0.7500, 0.7500, 0.7500)  4 Sn 3.34, 4 In 3.35, 4 Sm 3.58
Sm (0.7863, 0.2137, 0.2137)  4 In 3.35-3.37, 4 Sn 3.36-3.38, 5 Sm 3.58-3.74
In (0.2763, 0.7237, 0.2763)  2 Sn 3.17, 8 Sm 3.35-3.37
In (0.7237, 0.2763, 0.7237)  2 Sn 3.17, 8 Sm 3.35-3.37
Sn (0.2786, 0.2786, 0.7214)  2 In 3.17, 8 Sm 3.34-3.38
Sn (0.7214, 0.7214, 0.2786)  2 In 3.17, 8 Sm 3.34-3.38


(10)
# CaPr4Pd2

An optimized crystal structure of CaPr4Pd2 (GGA-PBE, Alexandria).

Calculated formation energy ... -0.3538 eV per atom
Total energy ... -67.96 eV for the cell shown
Total moment ... 0.0 μB per formula unit

Lattice parameters (Å, degrees): 8.1142 6.6728 8.4337 90.00 111.94 90.00
With the nearest neighbours (Å) after each atom.
Sites, in units of the cell vectors:
Ca (0.1558, 0.2500, 0.0254)  4 Pd 3.13-3.48
Ca (0.8442, 0.7500, 0.9746)  4 Pd 3.13-3.48
Pr (0.0219, 0.2500, 0.3903)  1 Pd 2.86
Pr (0.2461, 0.7500, 0.3433)  2 Pd 2.93-2.97
Pr (0.4028, 0.0043, 0.7650)  4 Pd 3.11-3.31, 2 Pr 3.28-3.39
Pr (0.4028, 0.4957, 0.7650)  4 Pd 3.11-3.31, 2 Pr 3.28-3.39
Pr (0.5972, 0.5043, 0.2350)  4 Pd 3.11-3.31, 2 Pr 3.28-3.39
Pr (0.5972, 0.9957, 0.2350)  4 Pd 3.11-3.31, 2 Pr 3.28-3.39
Pr (0.7539, 0.2500, 0.6567)  2 Pd 2.93-2.97
Pr (0.9781, 0.7500, 0.6097)  1 Pd 2.86
Pd (0.2621, 0.7500, 0.9970)  6 Pr 2.97-3.22, 1 Ca 3.32
Pd (0.3839, 0.2500, 0.4170)  4 Pr 2.86-3.20, 1 Ca 3.13
Pd (0.6161, 0.7500, 0.5830)  4 Pr 2.86-3.20, 1 Ca 3.13
Pd (0.7379, 0.2500, 0.0030)  6 Pr 2.97-3.22, 1 Ca 3.32


(11)
# CsBa2Hg2Pb2

An optimized crystal structure of CsBa2Hg2Pb2 (GGA-PBE, Alexandria).

Calculated formation energy ... -0.3392 eV per atom
Total energy ... -15.09 eV for the cell shown
Total moment ... 0.2 μB per formula unit

Lattice parameters (Å, degrees): 11.9513 11.9513 11.9513 26.76 26.76 26.76
With the nearest neighbours (Å) after each atom.
Sites, in units of the cell vectors:
Cs (0.0000, 0.0000, 0.0000)  6 Hg 4.33, 6 Pb 4.39, 2 Ba 4.44
Ba (0.1284, 0.1284, 0.1284)  3 Pb 3.50, 3 Hg 3.53
Ba (0.8716, 0.8716, 0.8716)  3 Pb 3.50, 3 Hg 3.53
Hg (0.4178, 0.4178, 0.4178)  3 Pb 3.19, 3 Ba 3.53
Hg (0.5822, 0.5822, 0.5822)  3 Pb 3.19, 3 Ba 3.53
Pb (0.2462, 0.2462, 0.2462)  3 Hg 3.19, 3 Ba 3.50
Pb (0.7538, 0.7538, 0.7538)  3 Hg 3.19, 3 Ba 3.50


(12)
# Pr2Dy2Er

An optimized crystal structure of Pr2Dy2Er (GGA-PBE, Alexandria).

ΔE to the lowest computed polymorph ... 114.4 meV/atom
Calculated formation energy ... 0.1370 eV per atom
Total energy ... -45.28 eV for the cell shown
Total moment ... 0.0 μB per formula unit

Lattice parameters (Å, degrees): 16.3225 16.3225 16.3225 167.12 159.71 24.11
With the nearest neighbours (Å) after each atom.
Sites, in units of the cell vectors:
Pr (0.2724, 0.0224, 0.2500)  3 Pr 3.17-3.21
Pr (0.3717, 0.1217, 0.2500)  1 Pr 3.17, 2 Dy 3.34
Pr (0.6283, 0.8783, 0.7500)  1 Pr 3.17, 2 Dy 3.34
Pr (0.7276, 0.9776, 0.7500)  3 Pr 3.17-3.21
Dy (0.0535, 0.8035, 0.2500)  6 Dy 3.43-3.66, 2 Pr 3.74
Dy (0.4591, 0.7091, 0.7500)  6 Dy 3.19-3.43, 2 Pr 3.34
Dy (0.5409, 0.2909, 0.2500)  6 Dy 3.19-3.43, 2 Pr 3.34
Dy (0.9465, 0.1965, 0.7500)  6 Dy 3.43-3.66, 2 Pr 3.74
Er (0.1689, 0.4189, 0.7500)  10 Pr 3.65-3.89, 2 Er 3.66
Er (0.8311, 0.5811, 0.2500)  10 Pr 3.65-3.89, 2 Er 3.66